a.
This record from the Alexandria database describes a geometry-optimized CeHf2P structure. The functional is PBE-GGA.

Unit cell a=3.4793 b=3.4793 c=8.8870 alpha=78.71 beta=78.71 gamma=60.00
Each line ends with the local moment (μB).
Fractional positions:
Ce: 0.5003 0.5003 0.4992  0.55
Hf: 0.0598 0.0598 0.8205  0.04
Hf: 0.2731 0.2731 0.1808  0.03
P: 0.6668 0.6668 0.9996  0.00

b.
This record from the Alexandria database describes a geometry-optimized CeHf2P structure. The functional is PBE-GGA.

Unit cell a=3.4146 b=3.4146 c=9.5791 alpha=79.73 beta=79.73 gamma=60.00
Each line ends with the local moment (μB).
Fractional positions:
P: 0.5000 0.5000 0.5000  0.00
Hf: 0.1115 0.1115 0.6655  0.02
Hf: 0.8885 0.8885 0.3345  0.02
Ce: 0.0000 0.0000 0.0000  0.70

In order of decreasing stability: a, b.

a.
This record from the Alexandria database describes a geometry-optimized CeHf2Pa structure. The functional is PBE-GGA.

Unit cell a=3.8618 b=3.8618 c=6.8276 alpha=90.00 beta=90.00 gamma=90.00
Each line ends with the local moment (μB).
Fractional positions:
Pa: 0.5000 0.5000 0.0000  0.02
Hf: 0.0000 0.0000 0.7841  0.01
Hf: 0.0000 0.0000 0.2159  0.01
Ce: 0.5000 0.5000 0.5000  0.31

b.
This record from the Alexandria database describes a geometry-optimized CeHf2Pa structure. The functional is PBE-GGA.

Unit cell a=5.1687 b=5.1687 c=5.2994 alpha=60.81 beta=60.81 gamma=60.00
Fractional positions:
Pa: 0.5000 0.5000 0.5000
Hf: 0.7741 0.7741 0.6778
Hf: 0.2259 0.2259 0.3222
Ce: 0.0000 0.0000 0.0000

c.
This record from the Alexandria database describes a geometry-optimized CeHf2Pa structure. The functional is PBE-GGA.

Unit cell a=3.2237 b=3.2237 c=11.0302 alpha=81.60 beta=81.60 gamma=60.00
Fractional positions:
Ce: 0.5004 0.5004 0.4988
Hf: 0.0813 0.0813 0.7561
Hf: 0.2517 0.2517 0.2450
Pa: 0.6666 0.6666 0.0001

In order of decreasing stability: c, a, b.